Entry 1:
Below is a relaxed structure of YHSe2, with properties calculated at the PBE level.

Calculated values
Density of states at the Fermi level: 1.40 states/eV/f.u.
Distance to the lowest polymorph of the same formula: 714 meV/atom

Lattice parameters (Å, degrees): 3.9181 3.9181 5.7860 90.00 90.00 90.00
Closest atoms and distances in Å follow each position.
Space group P4/mmm (No. 123)
Symmetry-distinct sites (fractional):
Y1 0.0000 0.0000 0.0000 (multiplicity 1)  6 Se 2.77-2.89
H1 0.5000 0.5000 0.5000 (multiplicity 1)  6 Se 2.77-2.89
Se1 0.0000 0.0000 0.5000 (multiplicity 1)  4 H 2.77, 2 Y 2.89
Se2 0.5000 0.5000 0.0000 (multiplicity 1)  4 Y 2.77, 2 H 2.89

---

Entry 2:
Below is a relaxed structure of YH2Se, with properties calculated at the PBE level.

Calculated values
Density of states at the Fermi level: 0.00 states/eV/f.u.
Distance to the lowest polymorph of the same formula: 41 meV/atom

Lattice parameters (Å, degrees): 3.7310 5.6240 7.2269 101.79 104.64 108.79
Closest atoms and distances in Å follow each position.
Space group P1 (No. 1)
Symmetry-distinct sites (fractional):
Y1 0.0000 0.0000 0.0000 (multiplicity 1)  4 H 2.10-2.33
Y2 0.4204 0.2107 0.6293 (multiplicity 1)  3 H 2.13-2.23
H1 0.1878 0.3994 0.2411 (multiplicity 1)  1 H 0.77
H2 0.3511 0.4629 0.1982 (multiplicity 1)  1 H 0.77
H3 0.5822 0.2301 0.9528 (multiplicity 1)  3 Y 2.23-2.33, 4 H 2.29-2.48
H4 0.9433 0.1383 0.7497 (multiplicity 1)  3 Y 2.10-2.13, 2 H 2.29-2.32
Se1 0.1937 0.6669 0.7132 (multiplicity 1)  5 Y 2.89-3.13, 4 H 2.90-3.08
Se2 0.6522 0.9889 0.3055 (multiplicity 1)  3 H 2.66-2.96, 4 Y 2.83-2.89